Dy2Al3Au2 | PBE-GGA | relaxed

POSCAR file:
```
Dy2Al3Au2
1.0
5.276 -2.173 0.000
5.276 2.173 0.000
-2.846 0.000 6.217
Dy Al Au
2 3 2
direct
0.148 0.148 0.281 Dy
0.852 0.852 0.719 Dy
0.396 0.396 0.068 Al
0.500 0.500 0.500 Al
0.604 0.604 0.932 Al
0.150 0.150 0.739 Au
0.850 0.850 0.261 Au
```

Summary:
**D(E_F)**: 2.47 states/eV per cell
**Formation enthalpy at 0 K**: -0.690 eV/atom
**Total magnetic moment**: 0.0 μB per cell